{
  "formula": "TbPr2ScBi5",
  "functional": "PBE",
  "state": "relaxed",
  "total_magnetization_mub_per_cell": 0.0,
  "formation_enthalpy_0k_mev_per_atom": -88,
  "n_ef_per_ev_cell": 6.6,
  "lattice": [[5.508, 0.000, 0.000], [0.000, 5.508, 0.000], [0.000, 0.000, 11.601]],
  "species": ["Tb", "Pr", "Pr", "Sc", "Bi", "Bi", "Bi", "Bi", "Bi"],
  "frac_coords": [[0.000, 0.000, 0.000], [0.500, 0.500, 0.219], [0.500, 0.500, 0.781], [0.000, 0.000, 0.500], [0.000, 0.000, 0.261], [0.000, 0.000, 0.739], [0.000, 0.500, 0.000], [0.500, 0.000, 0.000], [0.500, 0.500, 0.500]]
}

---

{
  "formula": "Re2Ru2Rh",
  "functional": "PBE",
  "state": "relaxed",
  "total_magnetization_mub_per_cell": 0.0,
  "polymorph_energy_mev_per_atom": 615,
  "formation_enthalpy_0k_mev_per_atom": 611,
  "n_ef_per_ev_cell": 4.1,
  "lattice": [[-1.885, 1.885, 5.771], [1.885, -1.885, 5.771], [1.885, 1.885, -5.771]],
  "species": ["Re", "Re", "Ru", "Ru", "Rh"],
  "frac_coords": [[0.104, 0.104, 0.000], [0.896, 0.896, 0.000], [0.250, 0.750, 0.500], [0.750, 0.250, 0.500], [0.500, 0.500, 0.000]]
}

---

{
  "formula": "Tb2Sm8Dy",
  "functional": "PBE",
  "state": "relaxed",
  "total_magnetization_mub_per_cell": 0.0,
  "formation_enthalpy_0k_mev_per_atom": 168,
  "n_ef_per_ev_cell": 17.1,
  "lattice": [[5.146, -6.740, 0.000], [5.146, 6.740, 0.000], [-0.012, 0.000, 5.468]],
  "species": ["Tb", "Tb", "Sm", "Sm", "Sm", "Sm", "Sm", "Sm", "Sm", "Sm", "Dy"],
  "frac_coords": [[0.119, 0.881, 0.000], [0.881, 0.119, 0.000], [0.166, 0.166, 0.500], [0.201, 0.469, 0.000], [0.247, 0.753, 0.500], [0.469, 0.201, 0.000], [0.531, 0.799, 0.000], [0.753, 0.247, 0.500], [0.799, 0.531, 0.000], [0.834, 0.834, 0.500], [0.500, 0.500, 0.500]]
}

---

{
  "formula": "NbPt3Se",
  "functional": "PBE",
  "state": "relaxed",
  "total_magnetization_mub_per_cell": 2.6,
  "polymorph_energy_mev_per_atom": 0,
  "e_form_raw_ev_per_atom": 0.7079,
  "n_ef_per_ev_cell": 4.2,
  "lattice": [[4.665, 0.000, 0.000], [0.000, 4.665, 0.000], [0.000, 0.000, 4.665]],
  "species": ["Nb", "Pt", "Pt", "Pt", "Se"],
  "frac_coords": [[0.000, 0.000, 0.000], [0.000, 0.500, 0.500], [0.500, 0.000, 0.500], [0.500, 0.500, 0.000], [0.500, 0.500, 0.500]]
}

---

{
  "formula": "KAgSnSb2",
  "functional": "PBE",
  "state": "relaxed",
  "total_magnetization_mub_per_cell": 0.1,
  "e_form_raw_ev_per_atom": 1.1040,
  "n_ef_per_ev_cell": 5.0,
  "lattice": [[5.903, 0.000, 0.000], [0.000, 5.903, 0.000], [0.000, 0.000, 5.329]],
  "species": ["K", "Ag", "Sn", "Sb", "Sb"],
  "frac_coords": [[0.000, 0.000, 0.000], [0.000, 0.000, 0.500], [0.500, 0.500, 0.500], [0.000, 0.500, 0.000], [0.500, 0.000, 0.000]]
}

---

{
  "formula": "LiScTc2",
  "functional": "PBE",
  "state": "relaxed",
  "total_magnetization_mub_per_cell": 0.9,
  "polymorph_energy_mev_per_atom": 505,
  "formation_enthalpy_0k_mev_per_atom": 464,
  "n_ef_per_ev_cell": 7.1,
  "lattice": [[0.000, 3.126, 3.126], [3.126, 0.000, 3.126], [3.126, 3.126, 0.000]],
  "species": ["Li", "Sc", "Tc", "Tc"],
  "frac_coords": [[0.000, 0.000, 0.000], [0.500, 0.500, 0.500], [0.250, 0.250, 0.250], [0.750, 0.750, 0.750]]
}

---

{
  "formula": "ScSe2NF",
  "functional": "PBE",
  "state": "relaxed",
  "total_magnetization_mub_per_cell": 0.6,
  "polymorph_energy_mev_per_atom": 0,
  "e_form_raw_ev_per_atom": 0.1768,
  "n_ef_per_ev_cell": 4.5,
  "lattice": [[5.185, 0.000, 0.000], [0.000, 5.185, 0.000], [0.000, 0.000, 4.190]],
  "species": ["Sc", "Se", "Se", "N", "F"],
  "frac_coords": [[0.000, 0.000, 0.000], [0.000, 0.500, 0.000], [0.500, 0.000, 0.000], [0.000, 0.000, 0.500], [0.500, 0.500, 0.500]]
}

---

{
  "formula": "Sm2TcCl",
  "functional": "PBE",
  "state": "relaxed",
  "total_magnetization_mub_per_cell": 0.0,
  "polymorph_energy_mev_per_atom": 0,
  "e_form_raw_ev_per_atom": -0.6815,
  "n_ef_per_ev_cell": 2.3,
  "lattice": [[3.457, 0.000, 0.000], [0.000, 3.457, 0.000], [0.000, 0.000, 7.933]],
  "species": ["Sm", "Sm", "Tc", "Cl"],
  "frac_coords": [[0.000, 0.000, 0.214], [0.000, 0.000, 0.786], [0.500, 0.500, 0.000], [0.500, 0.500, 0.500]]
}

---

{
  "formula": "HgPd5Pt2",
  "functional": "PBE",
  "state": "relaxed",
  "total_magnetization_mub_per_cell": 0.0,
  "formation_enthalpy_0k_mev_per_atom": 170,
  "n_ef_per_ev_cell": 21.5,
  "lattice": [[1.377, -10.140, 0.000], [1.377, 10.140, 0.000], [0.000, 0.000, 9.898]],
  "species": ["Hg", "Hg", "Pd", "Pd", "Pd", "Pd", "Pd", "Pd", "Pd", "Pd", "Pd", "Pd", "Pt", "Pt", "Pt", "Pt"],
  "frac_coords": [[0.159, 0.841, 0.750], [0.841, 0.159, 0.250], [0.035, 0.965, 0.616], [0.035, 0.965, 0.884], [0.215, 0.785, 0.250], [0.308, 0.692, 0.005], [0.308, 0.692, 0.495], [0.692, 0.308, 0.505], [0.692, 0.308, 0.995], [0.785, 0.215, 0.750], [0.965, 0.035, 0.116], [0.965, 0.035, 0.384], [0.095, 0.905, 0.121], [0.095, 0.905, 0.379], [0.905, 0.095, 0.621], [0.905, 0.095, 0.879]]
}

---

{
  "formula": "LaPr2Eu",
  "functional": "PBE",
  "state": "relaxed",
  "total_magnetization_mub_per_cell": 7.6,
  "polymorph_energy_mev_per_atom": 91,
  "formation_enthalpy_0k_mev_per_atom": 123,
  "n_ef_per_ev_cell": 6.1,
  "lattice": [[1.833, 1.059, 13.009], [-1.833, 1.059, 13.009], [0.000, -2.117, 13.009]],
  "species": ["La", "Pr", "Pr", "Eu"],
  "frac_coords": [[0.000, 0.000, 0.000], [0.410, 0.410, 0.410], [0.590, 0.590, 0.590], [0.500, 0.500, 0.500]]
}

---

{
  "formula": "H2RuPt",
  "functional": "PBE",
  "state": "relaxed",
  "total_magnetization_mub_per_cell": 0.0,
  "polymorph_energy_mev_per_atom": 517,
  "n_ef_per_ev_cell": 3.6,
  "lattice": [[0.000, 2.651, 2.651], [2.651, 0.000, 2.651], [2.651, 2.651, 0.000]],
  "species": ["H", "H", "Ru", "Pt"],
  "frac_coords": [[0.250, 0.250, 0.250], [0.750, 0.750, 0.750], [0.000, 0.000, 0.000], [0.500, 0.500, 0.500]]
}